# 1
Entry from the Alexandria database: a relaxed structure of Dy5Hg4Ir (GGA-PBE).

* crystal system: tetragonal
* energy of formation: -0.56 eV per atom

a = 3.613 Å, b = 3.613 Å, c = 18.796 Å
α = 90.00°, β = 90.00°, γ = 90.00°
Sites, in units of the cell vectors:
Dy: 0.000 0.000 0.000
Dy: 0.000 0.000 0.206
Dy: 0.000 0.000 0.415
Dy: 0.000 0.000 0.585
Dy: 0.000 0.000 0.794
Hg: 0.500 0.500 0.103
Hg: 0.500 0.500 0.305
Hg: 0.500 0.500 0.695
Hg: 0.500 0.500 0.897
Ir: 0.500 0.500 0.500



# 2
Entry from the Alexandria database: a relaxed structure of ReSi2Ir (GGA-PBE).

* crystal system: orthorhombic
* ΔE to the lowest computed polymorph: 406.2 meV/atom
* formation energy from raw total energies: 0.02 eV/atom

a = 2.887 Å, b = 3.958 Å, c = 5.029 Å
α = 90.00°, β = 90.00°, γ = 90.00°
Sites, in units of the cell vectors:
Re: 0.000 0.000 0.000
Si: 0.000 0.500 0.500
Si: 0.500 0.500 0.000
Ir: 0.500 0.000 0.500